Model w:
# CaAsH | the Alexandria database | PBE | optimized geometry
# * total moment: 0.0 μB per formula unit
# * volume: 218.2 Å³/cell
data_CaAsH
_chemical_formula_sum 'Ca4 As4 H4'
_cell_length_a 11.4156
_cell_length_b 4.1881
_cell_length_c 4.5912
_cell_angle_alpha 90.00
_cell_angle_beta 96.29
_cell_angle_gamma 90.00
_space_group_name_H-M_alt 'C 1 2/m 1'
_space_group_IT_number 12
loop_
_space_group_symop_operation_xyz
'x,y,z'
'-x,-y,-z'
'-x,y,-z'
'x,-y,z'
'x+1/2,y+1/2,z'
'-x+1/2,-y+1/2,-z'
'-x+1/2,y+1/2,-z'
'x+1/2,-y+1/2,z'
loop_
_atom_site_label
_atom_site_type_symbol
_atom_site_fract_x
_atom_site_fract_y
_atom_site_fract_z
Ca1 Ca 0.1243 0.0000 0.2636
As1 As 0.1049 0.5000 0.7299
H1 H 0.1904 0.5000 0.0300



Model x:
# CaAsH | the Alexandria database | PBE | optimized geometry
# * total moment: 0.0 μB per formula unit
# * volume: 235.5 Å³/cell
data_CaAsH
_chemical_formula_sum 'Ca4 As4 H4'
_cell_length_a 6.1654
_cell_length_b 6.1003
_cell_length_c 6.2621
_cell_angle_alpha 90.00
_cell_angle_beta 90.00
_cell_angle_gamma 90.00
_space_group_name_H-M_alt 'P n m a'
_space_group_IT_number 62
loop_
_space_group_symop_operation_xyz
'x,y,z'
'-x,-y,-z'
'-x+1/2,-y,z+1/2'
'x+1/2,y,-z+1/2'
'x+1/2,-y+1/2,-z+1/2'
'-x+1/2,y+1/2,z+1/2'
'-x,y+1/2,-z'
'x,-y+1/2,z'
loop_
_atom_site_label
_atom_site_type_symbol
_atom_site_fract_x
_atom_site_fract_y
_atom_site_fract_z
Ca1 Ca 0.2389 0.2500 0.0076
As1 As 0.2490 0.2500 0.4849
H1 H 0.0762 0.2500 0.6679



Decreasing stability: model x, model w